1.
Material: LiPbCl2
Method: DFT, PBEsol
State: relaxed

Summary:
D(E_F): 0.734 states/eV/atom
space-group type: F-43m, No. 216
uncorrected formation energy: -0.46 eV/atom
E_tot: -2.96 eV per atom

Structure (POSCAR):
```
LiPbCl2
1.0
5.0557 0.0000 0.0000
2.5278 4.3783 0.0000
2.5278 1.4594 4.1279
Cl Li Pb
2 1 1
direct
0.7500 0.7500 0.7500
0.0000 0.0000 0.0000
0.5000 0.5000 0.5000
0.2500 0.2500 0.2500
```

---

2.
Material: LiPbSCl2
Method: DFT, PBEsol
State: relaxed

Summary:
D(E_F): 0.618 states/eV/atom
space-group type: P4/mmm, No. 123
uncorrected formation energy: -0.72 eV/atom
E_tot: -3.59 eV per atom

Structure (POSCAR):
```
LiPbSCl2
1.0
4.5760 0.0000 0.0000
0.0000 4.5760 0.0000
0.0000 0.0000 4.8470
Cl Li S Pb
2 1 1 1
direct
0.0000 0.5000 0.0000
0.5000 0.0000 0.0000
0.0000 0.0000 0.0000
0.0000 0.0000 0.5000
0.5000 0.5000 0.5000
```

---

3.
Material: Li3PdCl
Method: DFT, PBEsol
State: relaxed

Summary:
D(E_F): 0.134 states/eV/atom
space-group type: Pm-3m, No. 221
uncorrected formation energy: -0.55 eV/atom
E_tot: -3.32 eV per atom

Structure (POSCAR):
```
Li3PdCl
1.0
-4.3992 -0.5528 0.2124
0.5851 -3.8136 2.1950
-0.0909 2.2034 3.8524
Li Pd Cl
3 1 1
direct
0.0000 0.5000 0.0000
0.5000 0.0000 0.0000
0.0000 0.0000 0.5000
0.5000 0.5000 0.5000
0.0000 0.0000 0.0000
```

---

4.
Material: Li2PtCl
Method: DFT, PBEsol
State: relaxed

Summary:
D(E_F): 0.289 states/eV/atom
space-group type: Imm2, No. 44
energy above the lowest structure with this stoichiometry: 0.250 eV/atom
uncorrected formation energy: -0.57 eV/atom
E_tot: -3.80 eV per atom

Structure (POSCAR):
```
Li2PtCl
1.0
-0.5767 2.6865 -0.9857
-2.6634 -1.4862 -2.4922
-2.1420 -0.0524 5.4326
Cl Li Pt
1 2 1
direct
0.2388 0.7388 0.4776
0.9515 0.9515 0.9031
0.7861 0.2861 0.5722
0.5236 0.5236 0.0472
```

---

5.
Material: Li4PtCl
Method: DFT, PBEsol
State: relaxed

Summary:
D(E_F): 0.215 states/eV/atom
space-group type: F-43m, No. 216
uncorrected formation energy: -0.13 eV/atom
E_tot: -2.94 eV per atom

Structure (POSCAR):
```
Li4PtCl
1.0
5.0026 0.0000 0.0000
2.5013 4.3324 0.0000
2.5013 1.4441 4.0846
Li Pt Cl
4 1 1
direct
0.3762 0.8714 0.3762
0.3762 0.3762 0.3762
0.8714 0.3762 0.3762
0.3762 0.3762 0.8714
0.7500 0.7500 0.7500
0.0000 0.0000 0.0000
```

---

6.
Material: Li2PtCl
Method: DFT, PBEsol
State: relaxed

Summary:
D(E_F): 0.129 states/eV/atom
space-group type: Cmmm, No. 65
energy above the lowest structure with this stoichiometry: 0.000 eV/atom
uncorrected formation energy: -0.82 eV/atom
E_tot: -4.05 eV per atom

Structure (POSCAR):
```
Li2PtCl
1.0
2.9207 0.0007 0.0000
-0.9988 2.7446 0.0000
0.0000 0.0000 7.1658
Li Pt Cl
2 1 1
direct
0.0000 0.0000 0.2230
0.0000 0.0000 0.7770
0.5000 0.5000 0.5000
0.5000 0.5000 0.0000
```

---

7.
Material: RbLi2Cl
Method: DFT, PBEsol
State: relaxed

Summary:
D(E_F): 0.467 states/eV/atom
space-group type: Fm-3m, No. 225
uncorrected formation energy: -0.23 eV/atom
E_tot: -1.97 eV per atom

Structure (POSCAR):
```
RbLi2Cl
1.0
-5.3937 1.4767 1.1241
-2.9066 -2.7133 4.0897
-1.2644 2.6937 4.8663
Rb Li Cl
1 2 1
direct
0.5000 0.5000 0.5000
0.7500 0.7500 0.7500
0.2500 0.2500 0.2500
0.0000 0.0000 0.0000
```

---

8.
Material: RbLiCl2
Method: DFT, PBEsol
State: relaxed

Summary:
D(E_F): 0.000 states/eV/atom
space-group type: Fm-3m, No. 225
uncorrected formation energy: -1.60 eV/atom
E_tot: -3.35 eV per atom

Structure (POSCAR):
```
RbLiCl2
1.0
5.1641 0.0000 0.0000
2.5820 4.4722 0.0000
2.5820 1.4907 4.2164
Li Rb Cl
1 1 2
direct
0.0000 0.0000 0.0000
0.5000 0.5000 0.5000
0.7500 0.7500 0.7500
0.2500 0.2500 0.2500
```

---

- Look up the uncorrected formation energy of the seventh one.
  -0.23 eV/atom